This record from Alexandria describes a relaxed structure of SbHRh3. The functional is PBE.

Cell: 5.1736 5.1736 5.7811 Å, 90.00 90.00 115.40°
Sites, in units of the cell vectors:
Rh 0.5174 0.9903 0.2500
Rh 0.0000 0.0000 0.5000
Rh 0.0097 0.4826 0.2500
Rh 0.9903 0.5174 0.7500
Rh 0.4826 0.0097 0.7500
Rh 0.0000 0.0000 0.0000
H 0.8656 0.1344 0.7500
H 0.1344 0.8656 0.2500
Sb 0.4863 0.5137 0.7500
Sb 0.5137 0.4863 0.2500

Results
- SG = Cmcm
- Fermi-level density of states (states/eV/f.u.) = 5.59
- raw total energy (eV/f.u.) = -29.26